## Cs3NpTe3 (PBE)

Data for a relaxed structure of Cs3NpTe3.

Cell and atoms, written as POSCAR:
```
Cs3NpTe3
1.0
-8.7150 2.6873 -1.1906
0.9937 -6.2463 6.6773
3.7877 8.1061 4.5303
Cs Np Te
6 2 6
direct
0.6047 0.6047 0.3776
0.1703 0.8297 0.5000
0.8297 0.1703 0.5000
0.2984 0.7016 0.0000
0.7016 0.2984 0.0000
0.3953 0.3953 0.6224
0.8822 0.8822 0.8800
0.1178 0.1178 0.1200
0.8322 0.8322 0.1637
0.8717 0.5754 0.7186
0.5754 0.8717 0.7186
0.1283 0.4246 0.2814
0.4246 0.1283 0.2814
0.1678 0.1678 0.8363
```

Calculated total energy, eV/atom: -4.457
Energy relative to the elements, uncorrected, eV/atom: -0.90

## CsNpTe3 (PBE)

Data for a relaxed structure of CsNpTe3.

Cell and atoms, written as POSCAR:
```
CsNpTe3
1.0
-4.3217 0.0595 0.4940
0.3130 -8.2276 3.7296
1.0564 4.0155 8.7695
Cs Np Te
2 2 6
direct
0.7500 0.2500 0.4525
0.2500 0.7500 0.5475
0.7500 0.2500 0.9903
0.2500 0.7500 0.0097
0.2500 0.4318 0.1653
0.7500 0.5682 0.8347
0.2500 0.0682 0.1653
0.7500 0.9318 0.8347
0.2500 0.2500 0.7717
0.7500 0.7500 0.2283
```

Energy relative to the lowest polymorph listed for this composition, meV/atom: 38
Calculated total energy, eV/atom: -5.326
Energy relative to the elements, uncorrected, eV/atom: -0.68

## Cs2Np3Te8 (PBE)

Data for a relaxed structure of Cs2Np3Te8.

Cell and atoms, written as POSCAR:
```
Cs2Np3Te8
1.0
7.7225 0.0000 0.2259
0.0000 8.8694 0.0000
-2.8413 -4.4347 8.9368
Cs Np Te
2 3 8
direct
0.3232 0.2579 0.5157
0.6768 0.7421 0.4843
0.5000 0.0000 0.0000
0.0000 0.2524 0.0000
0.0000 0.7476 0.0000
0.9464 0.5983 0.1967
0.0536 0.4017 0.8033
0.8930 0.0929 0.1857
0.1070 0.9071 0.8143
0.6155 0.6716 0.8213
0.6155 0.1497 0.8213
0.3845 0.8503 0.1787
0.3845 0.3284 0.1787
```

Calculated total energy, eV/atom: -5.688
Energy relative to the elements, uncorrected, eV/atom: -0.64

## Cs2NpTe4 (PBE)

Data for a relaxed structure of Cs2NpTe4.

Cell and atoms, written as POSCAR:
```
Cs2NpTe4
1.0
-2.4104 -4.2291 0.5928
8.3019 -4.1292 4.2984
-3.7215 2.7856 4.7412
Cs Np Te
2 1 4
direct
0.5000 0.4308 0.7513
0.5000 0.7118 0.3914
0.0000 0.0714 0.0715
0.5000 0.0712 0.8064
0.0000 0.3740 0.2223
0.5000 0.0716 0.3365
0.0000 0.7688 0.9207
```

Calculated total energy, eV/atom: -4.578
Energy relative to the elements, uncorrected, eV/atom: -0.69

## CsNpTe3 (PBE)

Data for a relaxed structure of CsNpTe3.

Cell and atoms, written as POSCAR:
```
CsNpTe3
1.0
-0.9304 -4.9687 -3.0955
0.0399 -3.1397 5.0276
-5.8540 0.7683 0.5262
Np Cs Te
1 1 3
direct
0.0000 0.0000 0.0000
0.5000 0.5000 0.5000
0.0000 0.5000 0.0000
0.0000 0.0000 0.5000
0.5000 0.0000 0.0000
```

Energy relative to the lowest polymorph listed for this composition, meV/atom: 0
Calculated total energy, eV/atom: -5.363
Energy relative to the elements, uncorrected, eV/atom: -0.72

## Cs4NpTe5 (PBE)

Data for a relaxed structure of Cs4NpTe5.

Cell and atoms, written as POSCAR:
```
Cs4NpTe5
1.0
-4.8782 -0.2371 -3.5841
-6.5491 -5.3623 4.1488
-5.7740 7.0970 2.2696
Cs Np Te
4 1 5
direct
0.7831 0.7159 0.7159
0.4990 0.2841 0.7159
0.4990 0.7159 0.2841
0.2149 0.2841 0.2841
0.9990 0.0000 0.0000
0.1647 0.6685 0.0000
0.1647 0.0000 0.6685
0.8332 0.0000 0.3315
0.8332 0.3315 0.0000
0.4990 0.0000 0.0000
```

Calculated total energy, eV/atom: -3.998
Energy relative to the elements, uncorrected, eV/atom: -0.79

no.,mass density (g/cm3)
1,4.6
2,6.6
3,5.4
4,5.3
5,6.0
6,4.8